No. 1
The following is a DFT calculation (PBE) of a relaxed KNi2Pb crystal.

abc: 6.0789 6.0789 6.0789
angles: 151.06 128.87 59.82
Last column: nearest neighbours and their distance in Å.
Fractional coordinates of all 4 atoms:
Pb  0.5427  0.5427  0.0000  2 Ni 2.82, 2 Pb 3.04
Ni  0.9437  0.9437  0.0000  2 Ni 2.39
Ni  0.7684  0.2684  0.5000  2 Ni 2.39
K  0.2452  0.7452  0.5000  2 K 3.04, 6 Ni 3.04-3.36, 2 Pb 3.38

Calculated values
Its formation energy is 0.499 eV/atom. The calculated density is 7.2 g/cm3. Its total energy is -3.5932 eV per atom. As for the crystal system: orthorhombic. The space-group type is No. 44.

---

No. 2
The following is a DFT calculation (PBE) of a relaxed TmCd2Ag4 crystal.

abc: 5.9496 5.9158 5.9158
angles: 75.35 59.81 59.81
Last column: nearest neighbours and their distance in Å.
Fractional coordinates of all 7 atoms:
Cd  0.0000  0.5000  0.5000  8 Ag 2.96, 2 Cd 2.97
Cd  0.5000  0.5000  0.5000  8 Ag 2.96, 2 Cd 2.97
Ag  0.5001  0.9997  0.5000  4 Cd 2.96, 2 Tm 2.96, 2 Ag 2.97
Ag  0.9999  0.0003  0.5000  4 Cd 2.96, 2 Tm 2.96, 2 Ag 2.97
Ag  0.0001  0.5000  0.9997  4 Cd 2.96, 2 Tm 2.96, 2 Ag 2.97
Ag  0.4999  0.5000  0.0003  4 Cd 2.96, 2 Tm 2.96, 2 Ag 2.97
Tm  0.0000  0.0000  0.0000  8 Ag 2.96

Calculated values
Its formation energy is 0.032 eV/atom. The calculated density is 8.8 g/cm3. Its total energy is -2.4971 eV per atom. As for the crystal system: tetragonal. The space-group type is No. 139.

---

No. 3
The following is a DFT calculation (PBE) of a relaxed SmHoIrBr crystal.

abc: 4.0765 4.0762 8.0595
angles: 90.01 104.65 120.00
Last column: nearest neighbours and their distance in Å.
Fractional coordinates of all 4 atoms:
Ho  0.0964  0.9461  0.0580  3 Ir 2.74
Br  0.9636  0.3801  0.3581  3 Ho 3.30, 3 Sm 3.41
Sm  0.5102  0.1529  0.6787  3 Ir 2.80
Ir  0.3076  0.5517  0.8748  3 Ho 2.74, 3 Sm 2.80

Calculated values
The uncorrected formation energy comes out at -4.347 eV/f.u. The calculated density is 8.8 g/cm3. Its total energy is -6.0444 eV per atom. As for the crystal system: trigonal. The space-group type is No. 160.

---

No. 4
The following is a DFT calculation (PBE) of a relaxed NdEr5In4 crystal.

abc: 3.5337 3.5337 21.8580
angles: 90.00 90.00 90.00
Last column: nearest neighbours and their distance in Å.
Fractional coordinates of all 10 atoms:
In  0.0000  0.0000  0.7866  8 Er 3.24-3.26, 4 In 3.53
In  0.0000  0.0000  0.5955  8 Er 3.26, 4 In 3.53
In  0.0000  0.0000  0.2134  8 Er 3.24-3.26, 4 In 3.53
In  0.0000  0.0000  0.4045  8 Er 3.26, 4 In 3.53
Er  0.5000  0.5000  0.1191  4 In 3.24, 4 Er 3.53, 4 Nd 3.61
Er  0.5000  0.5000  0.6911  8 In 3.26, 4 Er 3.53
Er  0.5000  0.5000  0.3089  8 In 3.26, 4 Er 3.53
Er  0.5000  0.5000  0.8809  4 In 3.24, 4 Er 3.53, 4 Nd 3.61
Er  0.5000  0.5000  0.5000  8 In 3.26, 4 Er 3.53
Nd  0.0000  0.0000  0.0000  4 Nd 3.53, 8 Er 3.61

Calculated values
Its formation energy is -0.363 eV/atom. The calculated density is 8.8 g/cm3. Its total energy is -4.2165 eV per atom. As for the crystal system: tetragonal. The space-group type is No. 123.